(1)
# In3BiPt, relaxed, DFT PBE-GGA
# Energy of formation: -0.09 eV per atom
data_In3BiPt
_cell_length_a 5.238
_cell_length_b 5.238
_cell_length_c 5.238
_cell_angle_alpha 90.00
_cell_angle_beta 90.00
_cell_angle_gamma 90.00
_symmetry_space_group_name_H-M 'P m -3 m'
_symmetry_Int_Tables_number 221
_symmetry_space_group_name_Hall '-P 4 2 3'
loop_
_atom_site_label
_atom_site_type_symbol
_atom_site_fract_x
_atom_site_fract_y
_atom_site_fract_z
In1 In 0.000 0.000 0.500
Bi1 Bi 0.500 0.500 0.500
Pt1 Pt 0.000 0.000 0.000

(2)
# InBi2Pt, relaxed, DFT PBE-GGA
# Energy of formation: -0.01 eV per atom
data_InBi2Pt
_cell_length_a 3.7417
_cell_length_b 3.7417
_cell_length_c 30.6595
_cell_angle_alpha 90.00
_cell_angle_beta 90.00
_cell_angle_gamma 120.00
_symmetry_space_group_name_H-M 'R -3 m'
_symmetry_Int_Tables_number 166
_symmetry_space_group_name_Hall '-R 3 2"'
loop_
_atom_site_label
_atom_site_type_symbol
_atom_site_fract_x
_atom_site_fract_y
_atom_site_fract_z
In1 In 0.0000 0.0000 0.0000
Bi1 Bi 0.0000 0.0000 0.1088
Pt1 Pt 0.0000 0.0000 0.5000

Number 1: E -0.27327 Ry per atom. Number 2: E -0.30468 Ry per atom.